A plane-wave DFT calculation with PBE was carried out for a geometry-optimized IrOsS2 structure.

a b c (Å): 7.537 7.537 7.537
angles (deg): 25.04 25.04 25.04
Fractional coordinates of all 4 atoms:
S (0.898, 0.898, 0.898)
S (0.102, 0.102, 0.102)
Ir (0.500, 0.500, 0.500)
Os (0.000, 0.000, 0.000)

Computed properties:
ΔE to the lowest computed polymorph: 0.1502 eV per atom
calculated density: 11.0 g/cm3
energy: -6.74 eV per atom

---

A plane-wave DFT calculation with PBE was carried out for a geometry-optimized Ir2OsS structure.

a b c (Å): 5.674 5.674 6.366
angles (deg): 63.54 63.54 90.00
Fractional coordinates of all 8 atoms:
S (0.500, 0.500, 0.000)
S (0.250, 0.750, 0.500)
Ir (0.610, 0.125, 0.250)
Ir (0.140, 0.625, 0.250)
Ir (0.375, 0.390, 0.750)
Ir (0.875, 0.860, 0.750)
Os (0.000, 0.000, 0.000)
Os (0.750, 0.250, 0.500)

Computed properties:
calculated density: 12.7 g/cm3
energy: -7.60 eV per atom

---

A plane-wave DFT calculation with PBE was carried out for a geometry-optimized IrOsS structure.

a b c (Å): 2.850 2.851 12.063
angles (deg): 90.00 90.00 120.00
Fractional coordinates of all 6 atoms:
Os (0.444, 0.889, 0.000)
Os (0.444, 0.889, 0.500)
S (0.778, 0.556, 0.347)
S (0.778, 0.556, 0.653)
Ir (0.111, 0.222, 0.822)
Ir (0.111, 0.222, 0.178)

Computed properties:
calculated density: 16.2 g/cm3
energy: -7.73 eV per atom

---

A plane-wave DFT calculation with PBE was carried out for a geometry-optimized IrOsS2 structure.

a b c (Å): 4.281 4.281 4.281
angles (deg): 60.00 60.00 60.00
Fractional coordinates of all 4 atoms:
S (0.250, 0.250, 0.250)
S (0.750, 0.750, 0.750)
Ir (0.500, 0.500, 0.500)
Os (0.000, 0.000, 0.000)

Computed properties:
ΔE to the lowest computed polymorph: 0.5013 eV per atom
calculated density: 13.4 g/cm3
energy: -6.39 eV per atom

---

A plane-wave DFT calculation with PBE was carried out for a geometry-optimized IrOsS2 structure.

a b c (Å): 7.836 7.836 7.836
angles (deg): 22.85 22.85 22.85
Fractional coordinates of all 4 atoms:
S (0.902, 0.902, 0.902)
S (0.098, 0.098, 0.098)
Ir (0.000, 0.000, 0.000)
Os (0.500, 0.500, 0.500)

Computed properties:
ΔE to the lowest computed polymorph: 0.0565 eV per atom
calculated density: 11.6 g/cm3
energy: -6.83 eV per atom

---

A plane-wave DFT calculation with PBE was carried out for a geometry-optimized IrOs3S structure.

a b c (Å): 4.746 4.746 4.746
angles (deg): 90.00 90.00 90.00
Fractional coordinates of all 5 atoms:
S (0.500, 0.500, 0.500)
Ir (0.000, 0.000, 0.000)
Os (0.000, 0.500, 0.000)
Os (0.000, 0.000, 0.500)
Os (0.500, 0.000, 0.000)

Computed properties:
calculated density: 12.3 g/cm3
energy: -6.65 eV per atom

---

A plane-wave DFT calculation with PBE was carried out for a geometry-optimized IrOsS4 structure.

a b c (Å): 5.880 5.610 7.844
angles (deg): 94.67 112.01 90.00
Fractional coordinates of all 12 atoms:
Ir (0.506, 0.750, 0.000)
Ir (0.494, 0.250, 0.000)
Os (0.500, 0.000, 0.500)
Os (0.000, 0.500, 0.500)
S (0.638, 0.988, 0.826)
S (0.812, 0.512, 0.174)
S (0.362, 0.012, 0.174)
S (0.188, 0.488, 0.826)
S (0.909, 0.890, 0.559)
S (0.350, 0.610, 0.441)
S (0.091, 0.110, 0.441)
S (0.650, 0.390, 0.559)

Computed properties:
calculated density: 7.1 g/cm3
energy: -6.19 eV per atom

---

A plane-wave DFT calculation with PBE was carried out for a geometry-optimized IrOs2S structure.

a b c (Å): 5.283 5.283 6.701
angles (deg): 66.79 66.79 90.00
Fractional coordinates of all 8 atoms:
S (0.500, 0.500, 0.000)
S (0.250, 0.750, 0.500)
Ir (0.000, 0.000, 0.000)
Ir (0.750, 0.250, 0.500)
Os (0.594, 0.125, 0.250)
Os (0.156, 0.625, 0.250)
Os (0.375, 0.406, 0.750)
Os (0.875, 0.844, 0.750)

Computed properties:
calculated density: 12.9 g/cm3
energy: -8.09 eV per atom

---

A plane-wave DFT calculation with PBE was carried out for a geometry-optimized Ir3OsS structure.

a b c (Å): 4.346 4.346 4.346
angles (deg): 90.00 90.00 90.00
Fractional coordinates of all 5 atoms:
S (0.000, 0.000, 0.000)
Ir (0.000, 0.500, 0.000)
Ir (0.000, 0.000, 0.500)
Ir (0.500, 0.000, 0.000)
Os (0.500, 0.500, 0.500)

Computed properties:
ΔE to the lowest computed polymorph: 0.0000 eV per atom
calculated density: 16.2 g/cm3
energy: -7.06 eV per atom

---

A plane-wave DFT calculation with PBE was carried out for a geometry-optimized Ir3OsS structure.

a b c (Å): 4.743 4.743 4.743
angles (deg): 90.00 90.00 90.00
Fractional coordinates of all 5 atoms:
S (0.500, 0.500, 0.500)
Ir (0.000, 0.500, 0.000)
Ir (0.000, 0.000, 0.500)
Ir (0.500, 0.000, 0.000)
Os (0.000, 0.000, 0.000)

Computed properties:
ΔE to the lowest computed polymorph: 0.7764 eV per atom
calculated density: 12.4 g/cm3
energy: -6.29 eV per atom

---

A plane-wave DFT calculation with PBE was carried out for a geometry-optimized TeIrOs2S structure.

a b c (Å): 4.854 4.433 4.854
angles (deg): 90.00 90.00 90.00
Fractional coordinates of all 5 atoms:
Te (0.500, 0.500, 0.500)
Ir (0.000, 0.000, 0.000)
Os (0.000, 0.000, 0.500)
Os (0.500, 0.000, 0.000)
S (0.000, 0.500, 0.000)

Computed properties:
calculated density: 11.6 g/cm3
energy: -6.00 eV per atom

---

A plane-wave DFT calculation with PBE was carried out for a geometry-optimized Th8Ir3OsS4 structure.

a b c (Å): 8.177 8.541 8.177
angles (deg): 118.60 120.00 90.00
Fractional coordinates of all 16 atoms:
Th (0.241, 0.728, 0.987)
Th (0.241, 0.728, 0.482)
Th (0.257, 0.272, 0.515)
Th (0.746, 0.728, 0.987)
Th (0.254, 0.272, 0.013)
Th (0.743, 0.728, 0.485)
Th (0.759, 0.272, 0.518)
Th (0.759, 0.272, 0.013)
Ir (0.500, 0.500, 0.000)
Ir (0.500, 0.500, 0.500)
Ir (0.000, 0.500, 0.500)
Os (0.000, 0.500, 0.000)
S (0.500, 0.000, 0.000)
S (0.500, 0.000, 0.500)
S (0.000, 0.000, 0.000)
S (0.000, 0.000, 0.500)

Computed properties:
calculated density: 11.1 g/cm3
energy: -8.40 eV per atom

---

A plane-wave DFT calculation with PBE was carried out for a geometry-optimized Th6IrOs2S3 structure.

a b c (Å): 4.087 8.550 9.483
angles (deg): 106.52 102.45 90.00
Fractional coordinates of all 12 atoms:
Th (0.337, 0.900, 0.675)
Th (0.673, 0.569, 0.345)
Th (0.663, 0.100, 0.325)
Th (0.007, 0.239, 0.013)
Th (0.993, 0.761, 0.987)
Th (0.327, 0.431, 0.655)
Ir (0.500, 0.000, 0.000)
Os (0.834, 0.667, 0.668)
Os (0.166, 0.333, 0.332)
S (0.500, 0.500, 0.000)
S (0.834, 0.166, 0.667)
S (0.166, 0.834, 0.333)

Computed properties:
calculated density: 11.1 g/cm3
energy: -8.51 eV per atom

---

A plane-wave DFT calculation with PBE was carried out for a geometry-optimized Th6Ir2Os3S structure.

a b c (Å): 4.114 8.318 9.219
angles (deg): 103.06 102.89 90.00
Fractional coordinates of all 12 atoms:
Th (0.329, 0.920, 0.657)
Th (0.666, 0.584, 0.332)
Th (0.671, 0.080, 0.343)
Th (0.999, 0.263, 0.998)
Th (0.001, 0.737, 0.002)
Th (0.334, 0.416, 0.668)
Ir (0.834, 0.671, 0.669)
Ir (0.166, 0.329, 0.331)
Os (0.500, 0.500, 0.000)
Os (0.839, 0.168, 0.678)
Os (0.161, 0.832, 0.322)
S (0.500, 0.000, 0.000)

Computed properties:
calculated density: 13.2 g/cm3
energy: -9.05 eV per atom

---

A plane-wave DFT calculation with PBE was carried out for a geometry-optimized Th4IrOsS2 structure.

a b c (Å): 4.090 7.508 7.075
angles (deg): 71.68 90.00 90.00
Fractional coordinates of all 8 atoms:
Th (0.000, 0.726, 0.754)
Th (0.000, 0.274, 0.246)
Th (0.500, 0.726, 0.261)
Th (0.500, 0.274, 0.739)
Ir (0.500, 0.500, 0.000)
Os (0.000, 0.500, 0.500)
S (0.000, 0.000, 0.000)
S (0.500, 0.000, 0.500)

Computed properties:
calculated density: 11.1 g/cm3
energy: -8.47 eV per atom

---

A plane-wave DFT calculation with PBE was carried out for a geometry-optimized TlIrOsS2 structure.

a b c (Å): 4.887 5.141 4.887
angles (deg): 90.00 90.00 90.00
Fractional coordinates of all 5 atoms:
Tl (0.000, 0.000, 0.000)
Ir (0.000, 0.500, 0.000)
Os (0.500, 0.500, 0.500)
S (0.000, 0.000, 0.500)
S (0.500, 0.000, 0.000)

Computed properties:
calculated density: 8.8 g/cm3
energy: -3.72 eV per atom

---

A plane-wave DFT calculation with PBE was carried out for a geometry-optimized SbIr2Os structure.

a b c (Å): 3.884 2.890 6.462
angles (deg): 63.48 90.00 90.00
Fractional coordinates of all 4 atoms:
Ir (0.000, 0.976, 0.023)
Ir (0.000, 0.524, 0.477)
Os (0.500, 0.250, 0.250)
Sb (0.500, 0.750, 0.750)

Computed properties:
calculated density: 17.8 g/cm3
energy: -7.93 eV per atom

---

A plane-wave DFT calculation with PBE was carried out for a geometry-optimized SbIr2Os structure.

a b c (Å): 5.538 5.538 5.538
angles (deg): 150.34 128.59 60.47
Fractional coordinates of all 4 atoms:
Ir (0.002, 0.002, 0.000)
Ir (0.742, 0.242, 0.500)
Os (0.504, 0.504, 0.000)
Sb (0.252, 0.752, 0.500)

Computed properties:
calculated density: 17.8 g/cm3
energy: -7.75 eV per atom

---

A plane-wave DFT calculation with PBE was carried out for a geometry-optimized SbIrOs structure.

a b c (Å): 4.342 4.342 4.342
angles (deg): 60.00 60.00 60.00
Fractional coordinates of all 3 atoms:
Ir (0.500, 0.500, 0.500)
Os (0.750, 0.750, 0.750)
Sb (0.000, 0.000, 0.000)

Computed properties:
ΔE to the lowest computed polymorph: 0.0000 eV per atom
calculated density: 14.5 g/cm3
energy: -7.64 eV per atom

---

A plane-wave DFT calculation with PBE was carried out for a geometry-optimized SbIr2Os structure.

a b c (Å): 8.806 8.806 8.806
angles (deg): 19.24 19.24 19.24
Fractional coordinates of all 4 atoms:
Ir (0.000, 0.000, 0.000)
Ir (0.248, 0.248, 0.248)
Os (0.501, 0.501, 0.501)
Sb (0.750, 0.750, 0.750)

Computed properties:
calculated density: 17.8 g/cm3
energy: -7.75 eV per atom

---

A plane-wave DFT calculation with PBE was carried out for a geometry-optimized SbIr2Os structure.

a b c (Å): 4.859 4.859 4.859
angles (deg): 131.35 131.35 71.26
Fractional coordinates of all 4 atoms:
Ir (0.000, 0.000, 0.000)
Ir (0.500, 0.500, 0.000)
Os (0.250, 0.750, 0.500)
Sb (0.750, 0.250, 0.500)

Computed properties:
calculated density: 18.3 g/cm3
energy: -7.91 eV per atom

---

A plane-wave DFT calculation with PBE was carried out for a geometry-optimized SbIr2Os structure.

a b c (Å): 2.877 2.877 8.019
angles (deg): 90.00 90.00 90.00
Fractional coordinates of all 4 atoms:
Ir (0.000, 0.000, 0.029)
Ir (0.000, 0.000, 0.471)
Os (0.500, 0.500, 0.250)
Sb (0.500, 0.500, 0.750)

Computed properties:
calculated density: 17.4 g/cm3
energy: -7.91 eV per atom

---

A plane-wave DFT calculation with PBE was carried out for a geometry-optimized SbIrOs structure.

a b c (Å): 3.034 3.034 6.344
angles (deg): 90.00 90.00 120.00
Fractional coordinates of all 3 atoms:
Ir (0.000, 0.000, 0.003)
Os (0.667, 0.333, 0.334)
Sb (0.333, 0.667, 0.664)

Computed properties:
ΔE to the lowest computed polymorph: 0.1626 eV per atom
calculated density: 16.6 g/cm3
energy: -7.48 eV per atom

---

A plane-wave DFT calculation with PBE was carried out for a geometry-optimized SbIr2Os structure.

a b c (Å): 9.060 9.060 9.060
angles (deg): 18.45 18.45 18.45
Fractional coordinates of all 4 atoms:
Ir (0.003, 0.003, 0.003)
Ir (0.497, 0.497, 0.497)
Os (0.750, 0.750, 0.750)
Sb (0.250, 0.250, 0.250)

Computed properties:
calculated density: 17.8 g/cm3
energy: -7.84 eV per atom

---

A plane-wave DFT calculation with PBE was carried out for a geometry-optimized SbIr2Os structure.

a b c (Å): 5.723 5.723 7.099
angles (deg): 66.23 66.23 90.00
Fractional coordinates of all 8 atoms:
Sb (0.500, 0.500, 0.000)
Sb (0.250, 0.750, 0.500)
Ir (0.658, 0.125, 0.250)
Ir (0.092, 0.625, 0.250)
Ir (0.375, 0.342, 0.750)
Ir (0.875, 0.908, 0.750)
Os (0.000, 0.000, 0.000)
Os (0.750, 0.250, 0.500)

Computed properties:
calculated density: 12.1 g/cm3
energy: -7.55 eV per atom

---

A plane-wave DFT calculation with PBE was carried out for a geometry-optimized SbIr2Os structure.

a b c (Å): 4.511 4.511 4.511
angles (deg): 60.00 60.00 60.00
Fractional coordinates of all 4 atoms:
Ir (0.000, 0.000, 0.000)
Ir (0.250, 0.250, 0.250)
Os (0.500, 0.500, 0.500)
Sb (0.750, 0.750, 0.750)

Computed properties:
calculated density: 17.8 g/cm3
energy: -7.68 eV per atom

---

A plane-wave DFT calculation with PBE was carried out for a geometry-optimized SbIrOs structure.

a b c (Å): 4.879 4.879 4.879
angles (deg): 144.75 130.29 62.40
Fractional coordinates of all 3 atoms:
Ir (0.984, 0.984, 0.000)
Os (0.349, 0.349, 0.000)
Sb (0.667, 0.667, 0.000)

Computed properties:
ΔE to the lowest computed polymorph: 0.2113 eV per atom
calculated density: 16.6 g/cm3
energy: -7.43 eV per atom

---

| no. | raw formation energy (meV/atom) |
| --- | --- |
| 1 | 347.7 |
| 2 | 666.9 |
| 3 | 339.2 |
| 4 | 698.8 |
| 5 | 254.0 |
| 6 | 2686.5 |
| 7 | -85.2 |
| 8 | 774.8 |
| 9 | 1325.7 |
| 10 | 2102.2 |
| 11 | 1715.9 |
| 12 | -1295.3 |
| 13 | -1163.2 |
| 14 | -708.5 |
| 15 | -1215.4 |
| 16 | 2420.5 |
| 17 | 338.7 |
| 18 | 519.9 |
| 19 | 427.5 |
| 20 | 515.3 |
| 21 | 356.9 |
| 22 | 353.8 |
| 23 | 590.1 |
| 24 | 431.6 |
| 25 | 717.2 |
| 26 | 586.8 |
| 27 | 638.8 |